# 1
Compound: ReIrW
Source: the Alexandria database
Functional: PBE
Structure: optimized geometry

POSCAR file:
```
ReIrW
1.0
-1.6495 1.6495 4.2823
1.6495 -1.6495 4.2823
1.6495 1.6495 -4.2823
Re Ir W
1 1 1
Direct
0.0000 0.0000 0.0000
0.3230 0.3230 0.0000
0.6585 0.6585 0.0000
```

Results
**Polymorph energy (0 for the lowest one)**: 416 meV/atom
**Volume**: 15.536 Å³/atom

---

# 2
Compound: ZnReIrW
Source: the Alexandria database
Functional: PBE
Structure: optimized geometry

POSCAR file:
```
ZnReIrW
1.0
0.0000 3.1034 3.1034
3.1034 0.0000 3.1034
3.1034 3.1034 0.0000
Zn Re Ir W
1 1 1 1
Direct
0.0000 0.0000 0.0000
0.7500 0.7500 0.7500
0.2500 0.2500 0.2500
0.5000 0.5000 0.5000
```

Results
**Volume**: 14.944 Å³/atom

---

# 3
Compound: Y2Re2Ir
Source: the Alexandria database
Functional: PBE
Structure: optimized geometry

POSCAR file:
```
Y2Re2Ir
1.0
6.6976 0.0000 0.0000
0.0000 6.6976 0.0000
0.0000 0.0000 4.6188
Y Re Ir
4 4 2
Direct
0.1794 0.3206 0.0000
0.3206 0.8206 0.0000
0.6794 0.1794 0.0000
0.8206 0.6794 0.0000
0.1253 0.6253 0.5000
0.3747 0.1253 0.5000
0.6253 0.8747 0.5000
0.8747 0.3747 0.5000
0.0000 0.0000 0.5000
0.5000 0.5000 0.5000
```

Results
**Volume**: 20.719 Å³/atom

---

# 4
Compound: YReIr2
Source: the Alexandria database
Functional: PBE
Structure: optimized geometry

POSCAR file:
```
YReIr2
1.0
0.0000 3.2437 3.2437
3.2437 0.0000 3.2437
3.2437 3.2437 0.0000
Y Re Ir
1 1 2
Direct
0.0000 0.0000 0.0000
0.7500 0.7500 0.7500
0.2500 0.2500 0.2500
0.5000 0.5000 0.5000
```

Results
**Polymorph energy (0 for the lowest one)**: 498 meV/atom
**Volume**: 17.064 Å³/atom

---

# 5
Compound: YRe2Ir
Source: the Alexandria database
Functional: PBE
Structure: optimized geometry

POSCAR file:
```
YRe2Ir
1.0
2.8998 0.0000 0.0000
0.0000 3.7396 0.0000
0.0000 0.0000 6.6367
Y Re Ir
1 2 1
Direct
0.0000 0.0000 0.0000
0.0000 0.0000 0.4986
0.5000 0.5000 0.6828
0.5000 0.5000 0.2808
```

Results
**Polymorph energy (0 for the lowest one)**: 96 meV/atom
**Volume**: 17.993 Å³/atom

---

# 6
Compound: YReIr
Source: the Alexandria database
Functional: PBE
Structure: optimized geometry

POSCAR file:
```
YReIr
1.0
0.0000 3.1731 3.1731
3.1731 0.0000 3.1731
3.1731 3.1731 0.0000
Y Re Ir
1 1 1
Direct
0.0000 0.0000 0.0000
0.5000 0.5000 0.5000
0.7500 0.7500 0.7500
```

Results
**Polymorph energy (0 for the lowest one)**: 397 meV/atom
**Volume**: 21.299 Å³/atom

---

# 7
Compound: YReIr2
Source: the Alexandria database
Functional: PBE
Structure: optimized geometry

POSCAR file:
```
YReIr2
1.0
-2.0073 2.1530 3.9431
2.0073 -2.1530 3.9431
2.0073 2.1530 -3.9431
Y Re Ir
1 1 2
Direct
0.0000 0.0000 0.0000
0.5000 0.5000 0.0000
0.2584 0.7584 0.5000
0.7416 0.2416 0.5000
```

Results
**Polymorph energy (0 for the lowest one)**: 248 meV/atom
**Volume**: 17.041 Å³/atom

---

# 8
Compound: YReIr2
Source: the Alexandria database
Functional: PBE
Structure: optimized geometry

POSCAR file:
```
YReIr2
1.0
1.4391 0.8309 9.4244
-1.4391 0.8309 9.4244
0.0000 -1.6617 9.4244
Y Re Ir
1 1 2
Direct
0.0000 0.0000 0.0000
0.5000 0.5000 0.5000
0.2415 0.2415 0.2415
0.7585 0.7585 0.7585
```

Results
**Polymorph energy (0 for the lowest one)**: 438 meV/atom
**Volume**: 16.903 Å³/atom

---

# 9
Compound: YReIr2
Source: the Alexandria database
Functional: PBE
Structure: optimized geometry

POSCAR file:
```
YReIr2
1.0
4.8268 -1.4549 0.0000
4.8268 1.4549 0.0000
-0.9983 0.0000 4.9327
Y Re Ir
1 1 2
Direct
0.0000 0.0000 0.0000
0.2263 0.2263 0.6540
0.4952 0.4952 0.5127
0.7591 0.7591 0.2311
```

Results
**Polymorph energy (0 for the lowest one)**: 155 meV/atom
**Volume**: 17.320 Å³/atom

---

# 10
Compound: Y2ReIr
Source: the Alexandria database
Functional: PBE
Structure: optimized geometry

POSCAR file:
```
Y2ReIr
1.0
5.7437 -1.6269 0.0000
5.7437 1.6269 0.0000
-1.9786 0.0000 4.4456
Y Re Ir
2 1 1
Direct
0.0000 0.0000 0.0000
0.2151 0.2151 0.7426
0.7565 0.7565 0.2947
0.4555 0.4555 0.4390
```

Results
**Volume**: 20.770 Å³/atom

---

# 11
Compound: YRe2Ir
Source: the Alexandria database
Functional: PBE
Structure: optimized geometry

POSCAR file:
```
YRe2Ir
1.0
1.4130 0.8158 9.8428
-1.4130 0.8158 9.8428
0.0000 -1.6316 9.8428
Y Re Ir
1 2 1
Direct
0.0000 0.0000 0.0000
0.2405 0.2405 0.2405
0.7595 0.7595 0.7595
0.5000 0.5000 0.5000
```

Results
**Polymorph energy (0 for the lowest one)**: 427 meV/atom
**Volume**: 17.019 Å³/atom

---

# 12
Compound: YReIr
Source: the Alexandria database
Functional: PBE
Structure: optimized geometry

POSCAR file:
```
YReIr
1.0
-1.4330 1.9633 5.1621
1.4330 -1.9633 5.1621
1.4330 1.9633 -5.1621
Y Re Ir
1 1 1
Direct
0.0000 0.0000 0.0000
0.2932 0.2932 0.0000
0.7052 0.7052 0.0000
```

Results
**Polymorph energy (0 for the lowest one)**: 62 meV/atom
**Volume**: 19.364 Å³/atom

---

| no. | uncorrected energy (eV per atom) | ΔE_f (kJ per mole of atoms) |
| --- | --- | --- |
| 1 | -11.173 | 23.9 |
| 2 | -8.864 | 1.9 |
| 3 | -9.391 | -5.2 |
| 4 | -8.904 | 24.6 |
| 5 | -9.939 | 11.3 |
| 6 | -8.936 | 31.0 |
| 7 | -9.155 | 0.4 |
| 8 | -8.964 | 18.8 |
| 9 | -9.248 | -8.6 |
| 10 | -8.649 | -8.7 |
| 11 | -9.608 | 43.1 |
| 12 | -9.271 | -1.3 |